Version one
An optimized crystal structure of BeAsIN2, computed with PBE-GGA.

Output
Space-group type: P4/mmm, No. 123
Total moment (μB/atom): 0.523
Density of states at the Fermi level (states/eV/cell): 2.9

Cell lengths 3.9516, 3.9516, 5.1591 Å; angles 90.00, 90.00, 90.00 degrees
Closest atoms and distances in Å follow each position.
Sites, in units of the cell vectors:
Be 0.0000 0.0000 0.0000  4 N 1.98
As 0.5000 0.5000 0.5000  4 I 2.79
I 0.0000 0.0000 0.5000  2 Be 2.58, 4 As 2.79
N 0.0000 0.5000 0.0000  2 Be 1.98
N 0.5000 0.0000 0.0000  2 Be 1.98



Version two
An optimized crystal structure of BeAsIN2, computed with PBE-GGA.

Output
Space-group type: P4/mmm, No. 123
Total moment (μB/atom): 0.107
Density of states at the Fermi level (states/eV/cell): 1.4

Cell lengths 3.6956, 3.6956, 7.2750 Å; angles 90.00, 90.00, 90.00 degrees
Closest atoms and distances in Å follow each position.
Sites, in units of the cell vectors:
Be 0.0000 0.0000 0.0000  4 I 2.61
As 0.5000 0.5000 0.5000  4 N 1.85
I 0.5000 0.5000 0.0000  4 Be 2.61
N 0.0000 0.5000 0.5000  2 As 1.85
N 0.5000 0.0000 0.5000  2 As 1.85



List of relative energies, unit meV per atom: version one 220; version two 0



Version one
An optimized crystal structure of BeAsIO2, computed with PBE-GGA.

Output
Space-group type: P4/mmm, No. 123
Total moment (μB/atom): 0.000
Density of states at the Fermi level (states/eV/cell): 1.3

Cell lengths 3.7480, 3.7480, 7.0839 Å; angles 90.00, 90.00, 90.00 degrees
Closest atoms and distances in Å follow each position.
Sites, in units of the cell vectors:
Be 0.0000 0.0000 0.0000  4 I 2.65
As 0.5000 0.5000 0.5000  4 O 1.87
I 0.5000 0.5000 0.0000  4 Be 2.65
O 0.0000 0.5000 0.5000  2 As 1.87
O 0.5000 0.0000 0.5000  2 As 1.87



Version two
An optimized crystal structure of BeAsIO2, computed with PBE-GGA.

Output
Space-group type: P4/mmm, No. 123
Total moment (μB/atom): 0.000
Density of states at the Fermi level (states/eV/cell): 4.0

Cell lengths 3.8584, 3.8584, 4.9010 Å; angles 90.00, 90.00, 90.00 degrees
Closest atoms and distances in Å follow each position.
Sites, in units of the cell vectors:
Be 0.0000 0.0000 0.0000  4 O 1.93
As 0.5000 0.5000 0.5000  4 I 2.73
I 0.0000 0.0000 0.5000  2 Be 2.45, 4 As 2.73
O 0.0000 0.5000 0.0000  2 Be 1.93
O 0.5000 0.0000 0.0000  2 Be 1.93



List of relative energies, unit meV per atom: version one 0; version two 164



Version one
An optimized crystal structure of BeTe2AsI, computed with PBE-GGA.

Output
Space-group type: P4/mmm, No. 123
Total moment (μB/atom): 0.000
Density of states at the Fermi level (states/eV/cell): 4.7

Cell lengths 5.0511, 5.0511, 4.9957 Å; angles 90.00, 90.00, 90.00 degrees
Closest atoms and distances in Å follow each position.
Sites, in units of the cell vectors:
Be 0.0000 0.0000 0.0000  2 I 2.50, 4 Te 2.53
Te 0.0000 0.5000 0.0000  2 Be 2.53
Te 0.5000 0.0000 0.0000  2 Be 2.53
As 0.5000 0.5000 0.5000  8 Te 3.55, 4 I 3.57
I 0.0000 0.0000 0.5000  2 Be 2.50



Version two
An optimized crystal structure of BeTe2AsI, computed with PBE-GGA.

Output
Space-group type: P4/mmm, No. 123
Total moment (μB/atom): 0.000
Density of states at the Fermi level (states/eV/cell): 5.3

Cell lengths 5.5200, 5.5200, 5.5067 Å; angles 90.00, 90.00, 90.00 degrees
Closest atoms and distances in Å follow each position.
Sites, in units of the cell vectors:
Be 0.0000 0.0000 0.0000  8 Te 3.90, 4 I 3.90
Te 0.0000 0.5000 0.5000  2 As 2.76
Te 0.5000 0.0000 0.5000  2 As 2.76
As 0.5000 0.5000 0.5000  2 I 2.75, 4 Te 2.76
I 0.5000 0.5000 0.0000  2 As 2.75



List of relative energies, unit meV per atom: version one 0; version two 381



Version one
An optimized crystal structure of BeInAs, computed with PBE-GGA.

Output
Space-group type: Pmmn, No. 59
Total moment (μB/atom): 0.000
Density of states at the Fermi level (states/eV/cell): 2.0

Cell lengths 3.6243, 3.7406, 8.6810 Å; angles 90.00, 90.00, 90.00 degrees
Closest atoms and distances in Å follow each position.
Sites, in units of the cell vectors:
Be 0.2500 0.2500 0.0060  4 As 2.31-2.33
Be 0.7500 0.7500 0.9940  4 As 2.31-2.33
In 0.2500 0.7500 0.6268  4 As 3.18, 4 In 3.41
In 0.7500 0.2500 0.3732  4 As 3.18, 4 In 3.41
As 0.2500 0.7500 0.1622  4 Be 2.31-2.33
As 0.7500 0.2500 0.8378  4 Be 2.31-2.33



Version two
An optimized crystal structure of BeInAs, computed with PBE-GGA.

Output
Space-group type: F-43m, No. 216
Total moment (μB/atom): 0.000
Density of states at the Fermi level (states/eV/cell): 0.5

Cell lengths 4.5265, 4.5265, 4.5265 Å; angles 60.00, 60.00, 60.00 degrees
Closest atoms and distances in Å follow each position.
Sites, in units of the cell vectors:
Be 0.0000 0.0000 0.0000  4 In 2.77
In 0.2500 0.2500 0.2500  4 As 2.77, 4 Be 2.77
As 0.5000 0.5000 0.5000  4 In 2.77



List of relative energies, unit meV per atom: version one 0; version two 668



Version one
An optimized crystal structure of BeInAs, computed with PBE-GGA.

Output
Space-group type: P3m1, No. 156
Total moment (μB/atom): 0.000
Density of states at the Fermi level (states/eV/cell): 0.5

Cell lengths 3.8256, 3.8256, 4.9084 Å; angles 90.00, 90.00, 120.00 degrees
Closest atoms and distances in Å follow each position.
Sites, in units of the cell vectors:
Be 0.0000 0.0000 0.0000  3 As 2.21
In 0.3333 0.6667 0.4986  6 Be 3.30-3.31, 6 As 3.30
As 0.6667 0.3333 0.9980  3 Be 2.21



Version two
An optimized crystal structure of BeInAs, computed with PBE-GGA.

Output
Space-group type: I4mm, No. 107
Total moment (μB/atom): 0.000
Density of states at the Fermi level (states/eV/cell): 1.2

Cell lengths 6.4589, 6.4589, 6.4589 Å; angles 152.39, 152.39, 39.45 degrees
Closest atoms and distances in Å follow each position.
Sites, in units of the cell vectors:
Be 0.0000 0.0000 0.0000  4 As 2.44
In 0.6729 0.6729 0.0000  4 Be 3.03, 4 In 3.08, 1 As 3.20
As 0.4095 0.4095 0.0000  4 Be 2.44



Version three
An optimized crystal structure of BeInAs, computed with PBE-GGA.

Output
Space-group type: Fmm2, No. 42
Total moment (μB/atom): 0.000
Density of states at the Fermi level (states/eV/cell): 1.1

Cell lengths 6.6088, 6.3527, 3.2445 Å; angles 79.93, 71.16, 28.91 degrees
Closest atoms and distances in Å follow each position.
Sites, in units of the cell vectors:
Be 0.0000 0.0000 0.0000  2 As 2.17
In 0.3235 0.3235 0.6765  2 Be 2.86, 1 As 3.20
As 0.5871 0.5871 0.4129  2 Be 2.17



Version four
An optimized crystal structure of BeInAs, computed with PBE-GGA.

Output
Space-group type: F-43m, No. 216
Total moment (μB/atom): 0.000

Cell lengths 4.3568, 4.3568, 4.3568 Å; angles 60.00, 60.00, 60.00 degrees
Closest atoms and distances in Å follow each position.
Sites, in units of the cell vectors:
Be 0.0000 0.0000 0.0000  4 In 2.67, 4 As 2.67
In 0.7500 0.7500 0.7500  4 Be 2.67
As 0.2500 0.2500 0.2500  4 Be 2.67



List of relative energies, unit meV per atom: version one 0; version two 353; version three 307; version four 255



Version one
An optimized crystal structure of Be2In2As, computed with PBE-GGA.

Output
Space-group type: I4/mmm, No. 139
Total moment (μB/atom): 0.000
Density of states at the Fermi level (states/eV/cell): 2.6

Cell lengths 10.3406, 10.3406, 10.3406 Å; angles 163.19, 163.19, 23.85 degrees
Closest atoms and distances in Å follow each position.
Sites, in units of the cell vectors:
Be 0.2500 0.7500 0.5000  4 Be 2.14
Be 0.7500 0.2500 0.5000  4 Be 2.14
In 0.1232 0.1232 0.0000  4 Be 2.98, 4 In 3.02, 4 As 3.28
In 0.8768 0.8768 0.0000  4 Be 2.98, 4 In 3.02, 4 As 3.28
As 0.5000 0.5000 0.0000  4 As 3.02, 8 In 3.28



Version two
An optimized crystal structure of Be2In2As, computed with PBE-GGA.

Output
Space-group type: P4/mbm, No. 127
Total moment (μB/atom): 0.000
Density of states at the Fermi level (states/eV/cell): 2.3

Cell lengths 7.9582, 7.9582, 2.8911 Å; angles 90.00, 90.00, 90.00 degrees
Closest atoms and distances in Å follow each position.
Sites, in units of the cell vectors:
Be 0.0957 0.4043 0.0000  1 Be 2.15
Be 0.4043 0.9043 0.0000  1 Be 2.15
Be 0.5957 0.0957 0.0000  1 Be 2.15
Be 0.9043 0.5957 0.0000  1 Be 2.15
In 0.1986 0.6986 0.5000  6 Be 2.73-2.87, 2 As 2.87, 2 In 2.89
In 0.3014 0.1986 0.5000  6 Be 2.73-2.87, 2 As 2.87, 2 In 2.89
In 0.6986 0.8014 0.5000  6 Be 2.73-2.87, 2 As 2.87, 2 In 2.89
In 0.8014 0.3014 0.5000  6 Be 2.73-2.87, 2 As 2.87, 2 In 2.89
As 0.0000 0.0000 0.5000  4 In 2.87, 2 As 2.89
As 0.5000 0.5000 0.5000  4 In 2.87, 2 As 2.89



List of relative energies, unit meV per atom: version one 0; version two 52



Version one
An optimized crystal structure of BeInAs2Se, computed with PBE-GGA.

Output
Space-group type: P4/mmm, No. 123
Total moment (μB/atom): 0.214
Density of states at the Fermi level (states/eV/cell): 6.9

Cell lengths 5.2946, 5.2946, 5.3388 Å; angles 90.00, 90.00, 90.00 degrees
Closest atoms and distances in Å follow each position.
Sites, in units of the cell vectors:
Be 0.0000 0.0000 0.0000  4 Se 3.74, 8 As 3.76
In 0.5000 0.5000 0.5000  4 As 2.65, 2 Se 2.67
As 0.0000 0.5000 0.5000  2 In 2.65
As 0.5000 0.0000 0.5000  2 In 2.65
Se 0.5000 0.5000 0.0000  2 In 2.67



Version two
An optimized crystal structure of BeInAs2Se, computed with PBE-GGA.

Output
Space-group type: P4/mmm, No. 123
Total moment (μB/atom): 0.000
Density of states at the Fermi level (states/eV/cell): 3.9

Cell lengths 4.4482, 4.4482, 5.2873 Å; angles 90.00, 90.00, 90.00 degrees
Closest atoms and distances in Å follow each position.
Sites, in units of the cell vectors:
Be 0.0000 0.0000 0.0000  4 As 2.22
In 0.5000 0.5000 0.5000  4 Se 3.15, 8 As 3.45
As 0.0000 0.5000 0.0000  2 Be 2.22
As 0.5000 0.0000 0.0000  2 Be 2.22
Se 0.0000 0.0000 0.5000  2 Be 2.64



List of relative energies, unit meV per atom: version one 956; version two 0



Version one
An optimized crystal structure of BeAsIr, computed with PBE-GGA.

Output
Space-group type: I4mm, No. 107
Total moment (μB/atom): 0.000
Density of states at the Fermi level (states/eV/cell): 1.5

Cell lengths 4.3566, 4.3566, 4.3566 Å; angles 135.44, 135.44, 64.84 degrees
Closest atoms and distances in Å follow each position.
Sites, in units of the cell vectors:
Be 0.0000 0.0000 0.0000  1 As 2.34, 5 Ir 2.50-2.61
As 0.3188 0.3188 0.0000  1 Be 2.34, 5 Ir 2.51-2.61
Ir 0.6595 0.6595 0.0000  5 Be 2.50-2.61, 5 As 2.51-2.61



Version two
An optimized crystal structure of BeAsIr, computed with PBE-GGA.

Output
Space-group type: F-43m, No. 216
Total moment (μB/atom): 0.000
Density of states at the Fermi level (states/eV/cell): 1.7

Cell lengths 4.0255, 4.0255, 4.0255 Å; angles 60.00, 60.00, 60.00 degrees
Closest atoms and distances in Å follow each position.
Sites, in units of the cell vectors:
Be 0.0000 0.0000 0.0000  4 Ir 2.47
As 0.5000 0.5000 0.5000  4 Ir 2.47
Ir 0.7500 0.7500 0.7500  4 As 2.47, 4 Be 2.47



Version three
An optimized crystal structure of BeAsIr, computed with PBE-GGA.

Output
Space-group type: P-6m2, No. 187
Total moment (μB/atom): 0.000
Density of states at the Fermi level (states/eV/cell): 1.4

Cell lengths 3.9696, 3.9696, 3.0903 Å; angles 90.00, 90.00, 120.00 degrees
Closest atoms and distances in Å follow each position.
Sites, in units of the cell vectors:
Be 0.0000 0.0000 0.0000  3 Ir 2.29
As 0.3333 0.6667 0.5000  6 Be 2.76, 6 Ir 2.76, 2 As 3.09
Ir 0.6667 0.3333 0.0000  3 Be 2.29



List of relative energies, unit meV per atom: version one 63; version two 0; version three 205